DFT (PBE-GGA) results for AcCoPIr6 after structural relaxation.

Structure (POSCAR):
```
AcCoPIr6
1.0
6.007 0.000 0.000
0.000 9.329 0.000
-3.003 -4.664 5.839
Ir P Co Ac
12 2 2 2
direct
0.627 0.891 0.732 Ir
0.104 0.891 0.732 Ir
0.104 0.341 0.732 Ir
0.091 0.841 0.182 Ir
0.435 0.685 0.870 Ir
0.896 0.109 0.268 Ir
0.373 0.109 0.268 Ir
0.373 0.659 0.268 Ir
0.565 0.315 0.130 Ir
0.909 0.159 0.818 Ir
0.627 0.341 0.732 Ir
0.896 0.659 0.268 Ir
0.500 0.500 0.000 P
0.500 0.000 0.000 P
0.000 0.000 0.500 Co
0.500 0.000 0.500 Co
0.173 0.423 0.347 Ac
0.827 0.577 0.653 Ac
```

Properties
The calculation puts the spin magnetization at 2.07 μB/f.u. The value obtained for the formation enthalpy at 0 K is 0.229 eV per atom. Its symmetry is Imma, No. 74. As for the crystal system: orthorhombic.